No. 1
A plane-wave DFT calculation with SCAN was carried out for a PBEsol-optimized structure of CrCuIr2.

Cell: 3.648 3.648 4.654 Å, 113.07 113.07 90.00°
Last column: magnetic moment on the atom in μB.
Atoms (fractional coordinates):
Ir: 0.000 0.000 0.000  -0.02
Ir: 0.750 0.250 0.500  -0.13
Cu: 0.250 0.750 0.500  0.10
Cr: 0.500 0.500 0.000  2.46

## Properties
* energy of formation from the pure elements: -0.067 eV per atom
* symmetry: I-4m2, No. 119
* DOS at the Fermi energy: 4.22 states/eV per cell
* calculated total energy: -176.0 eV per cell
* V: 12.89 A^3/atom

=====

No. 2
A plane-wave DFT calculation with SCAN was carried out for a PBEsol-optimized structure of Cr2Cu2Ir.

Cell: 3.438 3.438 6.005 Å, 106.64 106.64 90.00°
Atoms (fractional coordinates):
Cr: 0.586 0.586 0.172
Cr: 0.414 0.414 0.828
Cu: 0.750 0.250 0.500
Cu: 0.250 0.750 0.500
Ir: 0.000 0.000 0.000

## Properties
* energy of formation from the pure elements: 0.635 eV per atom
* symmetry: I4/mmm, No. 139
* DOS at the Fermi energy: 3.92 states/eV per cell
* calculated total energy: -135.1 eV per cell
* V: 12.98 A^3/atom